Computed, not measured: Li2IBr2 at its PBEsol-relaxed geometry at the meta-GGA SCAN level of DFT.

It has space group I4/mmm (No. 139), with a = 3.8952 Å, b = 3.8952 Å, c = 19.1646 Å, α = 90.00°, β = 90.00° and γ = 90.00°. The distinct sites, in fractional coordinates, are Li at (0.0000, 0.5000, 0.2500), I at (0.0000, 0.0000, 0.0000) and Br at (0.0000, 0.0000, 0.3266).

Its total moment is 0.00 μB/cell. The calculation puts the distance to the lowest polymorph of the same formula at 0 meV/atom. As for the formation energy (no corrections): -1.10 eV/atom.